LiIn2Ag3 (PBE, relaxed); M_tot = 0.00 μB/f.u.; polymorph energy (0 for the lowest one) = 9 meV per atom; symmetry = Cmc2_1 (36); E_form = -0.0439 eV per atom; DFT total energy = -2.7013 eV/atom
1.0
-3.638 -3.188 2.455
5.051 -4.023 2.260
-1.094 4.860 4.690
In Ag Li
4 6 2
Direct
0.921 0.760 0.613
0.421 0.613 0.760
0.921 0.387 0.240
0.421 0.240 0.387
0.913 0.499 0.874
0.676 0.100 0.900
0.413 0.874 0.499
0.176 0.900 0.100
0.913 0.126 0.501
0.413 0.501 0.126
0.197 0.154 0.846
0.697 0.846 0.154